# 1
First-principles (PBE) data for a relaxed CrSb2Br crystal, as listed in Alexandria.

abc: 7.6112 7.6112 7.6112
angles: 151.86 145.48 45.11
With the nearest neighbours (Å) after each atom.
Fractional coordinates of all 4 atoms:
Br: 0.4030 0.4030 0.0000  2 Cr 2.69
Cr: 0.2638 0.7638 0.5000  2 Br 2.69, 6 Sb 2.95
Sb: 0.1001 0.1001 0.0000  2 Sb 2.93, 2 Cr 2.95
Sb: 0.7330 0.2330 0.5000  2 Sb 2.93, 4 Cr 2.95

Properties
Polymorph energy (0 for the lowest one) = 94 meV per atom
N(E_F) = 1.517 states/eV/f.u.
SG = Imm2, No. 44

# 2
First-principles (PBE) data for a relaxed CrSb3Br crystal, as listed in Alexandria.

abc: 5.0442 5.0442 5.0442
angles: 90.00 90.00 90.00
With the nearest neighbours (Å) after each atom.
Fractional coordinates of all 5 atoms:
Sb: 0.0000 0.5000 0.0000  2 Cr 2.52
Sb: 0.0000 0.0000 0.5000  2 Cr 2.52
Sb: 0.5000 0.0000 0.0000  2 Cr 2.52
Br: 0.5000 0.5000 0.5000  12 Sb 3.57
Cr: 0.0000 0.0000 0.0000  6 Sb 2.52

Properties
Polymorph energy (0 for the lowest one) = 0 meV per atom
N(E_F) = 5.495 states/eV/f.u.
SG = Pm-3m, No. 221

# 3
First-principles (PBE) data for a relaxed CrSb2Br crystal, as listed in Alexandria.

abc: 6.0403 6.0403 8.5672
angles: 69.36 69.36 90.00
With the nearest neighbours (Å) after each atom.
Fractional coordinates of all 8 atoms:
Sb: 0.5239 0.1250 0.2500  2 Cr 2.56
Sb: 0.2261 0.6250 0.2500  2 Cr 2.56
Sb: 0.3750 0.4761 0.7500  2 Cr 2.56
Sb: 0.8750 0.7739 0.7500  2 Cr 2.56
Br: 0.0000 0.0000 0.0000  4 Sb 3.20
Br: 0.7500 0.2500 0.5000  4 Sb 3.20
Cr: 0.5000 0.5000 0.0000  4 Sb 2.56
Cr: 0.2500 0.7500 0.5000  4 Sb 2.56

Properties
Polymorph energy (0 for the lowest one) = 484 meV per atom
N(E_F) = 3.678 states/eV/f.u.
SG = I-42d, No. 122

# 4
First-principles (PBE) data for a relaxed CrSb2Br crystal, as listed in Alexandria.

abc: 3.4980 3.4980 7.8096
angles: 90.00 90.00 90.00
With the nearest neighbours (Å) after each atom.
Fractional coordinates of all 4 atoms:
Br: 0.5000 0.5000 0.2500  8 Sb 3.43, 4 Br 3.50
Cr: 0.5000 0.5000 0.7500  8 Sb 2.91
Sb: 0.0000 0.0000 0.9458  4 Cr 2.91, 1 Sb 3.06
Sb: 0.0000 0.0000 0.5542  4 Cr 2.91, 1 Sb 3.06

Properties
Polymorph energy (0 for the lowest one) = 152 meV per atom
N(E_F) = 2.053 states/eV/f.u.
SG = P4/mmm, No. 123

# 5
First-principles (PBE) data for a relaxed CrSb2Br crystal, as listed in Alexandria.

abc: 5.2147 5.2147 7.7486
angles: 75.29 75.29 37.23
With the nearest neighbours (Å) after each atom.
Fractional coordinates of all 4 atoms:
Br: 0.5970 0.5970 0.4100  2 Cr 2.53
Cr: 0.1951 0.1951 0.1614  2 Br 2.53, 1 Sb 2.77
Sb: 0.9367 0.9367 0.0843  3 Cr 2.77-2.84, 1 Sb 2.79
Sb: 0.7711 0.7711 0.8443  1 Sb 2.79, 2 Cr 2.90

Properties
Polymorph energy (0 for the lowest one) = 76 meV per atom
N(E_F) = 2.677 states/eV/f.u.
SG = Cm, No. 8

# 6
First-principles (PBE) data for a relaxed CrSb2Br crystal, as listed in Alexandria.

abc: 3.7509 6.0966 6.0958
angles: 48.70 90.00 90.00
With the nearest neighbours (Å) after each atom.
Fractional coordinates of all 4 atoms:
Br: 0.5000 0.2500 0.2500  2 Cr 2.51
Cr: 0.5000 0.7500 0.7500  2 Br 2.51, 4 Sb 2.74
Sb: 0.0000 0.9302 0.9301  2 Cr 2.74, 2 Sb 2.95
Sb: 0.0000 0.5698 0.5699  2 Cr 2.74, 2 Sb 2.95

Properties
Polymorph energy (0 for the lowest one) = 0 meV per atom
N(E_F) = 1.681 states/eV/f.u.
SG = Cmmm, No. 65

Q: Number 1 is which compound?
A: CrSb2Br

Q: What is the polymorph energy (0 for the lowest one) in the fourth record?
A: 152 meV per atom

What did the fourth record say?
First-principles (PBE) data for a relaxed CrSb2Br crystal, as listed in Alexandria.

abc: 3.4980 3.4980 7.8096
angles: 90.00 90.00 90.00
With the nearest neighbours (Å) after each atom.
Fractional coordinates of all 4 atoms:
Br: 0.5000 0.5000 0.2500  8 Sb 3.43, 4 Br 3.50
Cr: 0.5000 0.5000 0.7500  8 Sb 2.91
Sb: 0.0000 0.0000 0.9458  4 Cr 2.91, 1 Sb 3.06
Sb: 0.0000 0.0000 0.5542  4 Cr 2.91, 1 Sb 3.06

Properties
Polymorph energy (0 for the lowest one) = 152 meV per atom
N(E_F) = 2.053 states/eV/f.u.
SG = P4/mmm, No. 123

Q: Which value of polymorph energy (0 for the lowest one) does entry 6 give?
A: 0 meV per atom